# 1
## P3PtW (PBE)

Data for a geometry-optimized P3PtW structure.

a b c (Å): 4.567 4.567 4.567
angles (deg): 90.00 90.00 90.00
Element x y z (fractional)
1 P 0.000 0.000 0.500
2 P 0.000 0.500 0.000
3 P 0.500 0.000 0.000
4 Pt 0.000 0.000 0.000
5 W 0.500 0.500 0.500

* space group: Pm-3m
* crystal system: cubic
* energy of formation: 1.43 eV per atom
* total moment: 0.0 μB per formula unit

***

# 2
## Cu2SiTc (PBE)

Data for a geometry-optimized Cu2SiTc structure.

a b c (Å): 8.515 8.515 8.515
angles (deg): 18.16 18.16 18.16
Element x y z (fractional)
1 Cu 0.246 0.246 0.246
2 Cu 0.754 0.754 0.754
3 Si 0.500 0.500 0.500
4 Tc 0.000 0.000 0.000

* space group: R-3m
* uncorrected formation energy: 0.1737 eV/atom
* crystal system: trigonal
* total moment: 0.2 μB per formula unit

***

# 3
## SrLa2P2 (PBE)

Data for a geometry-optimized SrLa2P2 structure.

a b c (Å): 7.570 7.570 7.570
angles (deg): 144.67 144.67 50.83
Element x y z (fractional)
1 Sr 0.000 0.000 0.000
2 La 0.250 0.750 0.500
3 La 0.750 0.250 0.500
4 P 0.390 0.390 0.000
5 P 0.610 0.610 0.000

* space group: I4/mmm
* crystal system: tetragonal
* energy of formation: -0.80 eV per atom
* total moment: 0.0 μB per formula unit

***

# 4
## La8SiSe3Br4 (PBE)

Data for a geometry-optimized La8SiSe3Br4 structure.

a b c (Å): 8.728 8.728 8.728
angles (deg): 59.72 59.72 59.72
Element x y z (fractional)
1 La 0.242 0.242 0.242
2 La 0.249 0.738 0.738
3 La 0.262 0.262 0.751
4 La 0.262 0.751 0.262
5 La 0.738 0.249 0.738
6 La 0.738 0.738 0.249
7 La 0.751 0.262 0.262
8 La 0.758 0.758 0.758
9 Si 0.500 0.500 0.500
10 Se 0.000 0.000 0.500
11 Se 0.000 0.500 0.000
12 Se 0.500 0.000 0.000
13 Br 0.000 0.000 0.000
14 Br 0.000 0.500 0.500
15 Br 0.500 0.000 0.500
16 Br 0.500 0.500 0.000

* space group: R-3m
* uncorrected formation energy: -1.5428 eV/atom
* crystal system: trigonal
* total moment: 0.0 μB per formula unit

***

# 5
## TaP4Os (PBE)

Data for a geometry-optimized TaP4Os structure.

a b c (Å): 4.924 4.924 4.924
angles (deg): 60.00 60.00 60.00
Element x y z (fractional)
1 Ta 0.000 0.000 0.000
2 P 0.124 0.625 0.625
3 P 0.625 0.124 0.625
4 P 0.625 0.625 0.124
5 P 0.625 0.625 0.625
6 Os 0.250 0.250 0.250

* space group: F-43m
* crystal system: cubic
* energy of formation: 0.75 eV per atom
* total moment: 0.0 μB per formula unit

***

# 6
## PrHoInSn (PBE)

Data for a geometry-optimized PrHoInSn structure.

a b c (Å): 5.425 5.425 5.425
angles (deg): 60.00 60.00 60.00
Element x y z (fractional)
1 Pr 0.000 0.000 0.000
2 Ho 0.500 0.500 0.500
3 In 0.750 0.750 0.750
4 Sn 0.250 0.250 0.250

* space group: F-43m
* crystal system: cubic
* energy of formation: -0.51 eV per atom
* total moment: 0.0 μB per formula unit

***

# 7
## BaFeP (PBE)

Data for a geometry-optimized BaFeP structure.

a b c (Å): 3.866 3.866 9.981
angles (deg): 90.00 90.00 90.00
Element x y z (fractional)
1 Ba 0.250 0.250 0.213
2 Ba 0.750 0.750 0.787
3 Fe 0.250 0.750 0.500
4 Fe 0.750 0.250 0.500
5 P 0.250 0.250 0.610
6 P 0.750 0.750 0.390

* space group: P4/nmm
* crystal system: tetragonal
* energy of formation: -0.73 eV per atom
* total moment: 0.0 μB per formula unit

***

# 8
## Dy12In5Hg3 (PBE)

Data for a geometry-optimized Dy12In5Hg3 structure.

a b c (Å): 15.391 15.391 15.391
angles (deg): 109.47 109.47 109.47
Element x y z (fractional)
1 Dy 0.063 0.226 0.135
2 Dy 0.063 0.337 0.927
3 Dy 0.073 0.635 0.410
4 Dy 0.073 0.937 0.663
5 Dy 0.090 0.726 0.663
6 Dy 0.090 0.865 0.427
7 Dy 0.135 0.063 0.226
8 Dy 0.135 0.573 0.910
9 Dy 0.163 0.226 0.590
10 Dy 0.163 0.437 0.573
11 Dy 0.226 0.135 0.063
12 Dy 0.226 0.590 0.163
13 Dy 0.274 0.337 0.910
14 Dy 0.274 0.437 0.365
15 Dy 0.337 0.910 0.274
16 Dy 0.337 0.927 0.063
17 Dy 0.365 0.274 0.437
18 Dy 0.365 0.590 0.927
19 Dy 0.410 0.073 0.635
20 Dy 0.410 0.837 0.774
21 Dy 0.427 0.090 0.865
22 Dy 0.427 0.837 0.563
23 Dy 0.437 0.365 0.274
24 Dy 0.437 0.573 0.163
25 Dy 0.563 0.427 0.837
26 Dy 0.563 0.635 0.726
27 Dy 0.573 0.163 0.437
28 Dy 0.573 0.910 0.135
29 Dy 0.590 0.163 0.226
30 Dy 0.590 0.927 0.365
31 Dy 0.635 0.410 0.073
32 Dy 0.635 0.726 0.563
33 Dy 0.663 0.073 0.937
34 Dy 0.663 0.090 0.726
35 Dy 0.726 0.563 0.635
36 Dy 0.726 0.663 0.090
37 Dy 0.774 0.410 0.837
38 Dy 0.774 0.865 0.937
39 Dy 0.837 0.563 0.427
40 Dy 0.837 0.774 0.410
41 Dy 0.865 0.427 0.090
42 Dy 0.865 0.937 0.774
43 Dy 0.910 0.135 0.573
44 Dy 0.910 0.274 0.337
45 Dy 0.927 0.063 0.337
46 Dy 0.927 0.365 0.590
47 Dy 0.937 0.663 0.073
48 Dy 0.937 0.774 0.865
49 In 0.000 0.000 0.000
50 In 0.000 0.000 0.500
51 In 0.000 0.500 0.000
52 In 0.000 0.500 0.500
53 In 0.125 0.750 0.875
54 In 0.125 0.875 0.250
55 In 0.250 0.125 0.875
56 In 0.250 0.625 0.375
57 In 0.375 0.250 0.625
58 In 0.375 0.625 0.750
59 In 0.500 0.000 0.000
60 In 0.500 0.000 0.500
61 In 0.500 0.500 0.000
62 In 0.500 0.500 0.500
63 In 0.625 0.375 0.250
64 In 0.625 0.750 0.375
65 In 0.750 0.375 0.625
66 In 0.750 0.875 0.125
67 In 0.875 0.125 0.750
68 In 0.875 0.250 0.125
69 Hg 0.125 0.250 0.375
70 Hg 0.125 0.375 0.750
71 Hg 0.250 0.375 0.125
72 Hg 0.250 0.875 0.625
73 Hg 0.375 0.125 0.250
74 Hg 0.375 0.750 0.125
75 Hg 0.625 0.250 0.875
76 Hg 0.625 0.875 0.750
77 Hg 0.750 0.125 0.375
78 Hg 0.750 0.625 0.875
79 Hg 0.875 0.625 0.250
80 Hg 0.875 0.750 0.625

* space group: Ia-3d
* crystal system: cubic
* energy of formation: 0.21 eV per atom
* total moment: 0.0 μB per formula unit

***

# 9
## Sn4Se5O (PBE)

Data for a geometry-optimized Sn4Se5O structure.

a b c (Å): 9.672 9.672 7.542
angles (deg): 101.07 101.07 22.52
Element x y z (fractional)
1 Sn 0.003 0.003 0.288
2 Sn 0.317 0.317 0.394
3 Sn 0.683 0.683 0.606
4 Sn 0.997 0.997 0.712
5 Se 0.148 0.148 0.828
6 Se 0.170 0.170 0.326
7 Se 0.500 0.500 0.000
8 Se 0.830 0.830 0.674
9 Se 0.852 0.852 0.172
10 O 0.500 0.500 0.500

* space group: C2/m
* uncorrected formation energy: -0.3743 eV/atom
* crystal system: monoclinic
* total moment: 0.0 μB per formula unit

***

# 10
## Ba4ZnCd3 (PBE)

Data for a geometry-optimized Ba4ZnCd3 structure.

a b c (Å): 4.648 5.368 12.695
angles (deg): 90.00 90.00 90.00
Element x y z (fractional)
1 Ba 0.000 0.000 0.000
2 Ba 0.000 0.500 0.275
3 Ba 0.500 0.000 0.487
4 Ba 0.500 0.500 0.779
5 Zn 0.500 0.000 0.201
6 Cd 0.000 0.000 0.703
7 Cd 0.000 0.500 0.566
8 Cd 0.500 0.500 0.070

* space group: Pmm2
* crystal system: orthorhombic
* energy of formation: -0.25 eV per atom
* total moment: 0.0 μB per formula unit

***

# 11
## Li3I2Cl (PBE)

Data for a geometry-optimized Li3I2Cl structure.

a b c (Å): 7.558 7.558 7.558
angles (deg): 146.51 59.24 132.64
Element x y z (fractional)
1 Li 0.000 0.000 0.000
2 Li 0.274 0.923 0.350
3 Li 0.573 0.923 0.650
4 I 0.540 0.703 0.837
5 I 0.866 0.703 0.163
6 Cl 0.198 0.698 0.500

* space group: Imm2
* uncorrected formation energy: -1.4021 eV/atom
* crystal system: orthorhombic
* total moment: 0.0 μB per formula unit